The following is a DFT calculation (GGA-PBE) of a geometry-optimized ZnTe2Br structure.

POSCAR file:
```
ZnTe2Br
1.0
-0.9216 -3.5192 -1.8002
2.2494 -2.7326 4.1904
-3.0582 -2.0805 5.6328
Te Br Zn
2 1 1
Cartesian
-0.1153 -0.3381 0.7200
-0.2891 -2.0684 4.1916
-1.0674 -5.3694 6.4673
-0.6630 -2.9629 1.5557
```

Summary:
The energy above the most stable polymorph in this dataset is 0 meV/atom.

***

The following is a DFT calculation (GGA-PBE) of a geometry-optimized ZnTeBr structure.

POSCAR file:
```
ZnTeBr
1.0
-1.1161 -4.2160 -6.3574
2.9144 -5.6920 -4.3063
-2.1285 3.3630 6.6028
Zn Br Te
1 1 1
Cartesian
1.1733 -6.4645 -6.9576
0.0938 -0.5169 -0.5563
0.5312 -2.9266 -3.1498
```

***

The following is a DFT calculation (GGA-PBE) of a geometry-optimized ZnTe2Br structure.

POSCAR file:
```
ZnTe2Br
1.0
-0.7914 2.8262 5.6788
-2.8072 -3.0289 4.8793
4.7501 -0.0833 -4.2769
Te Zn Br
2 1 1
Cartesian
-1.9817 -0.1116 5.8144
-3.4161 -0.1924 10.0228
1.0797 1.3208 3.3405
0.0718 -1.6068 2.9408
```

Summary:
The energy above the most stable polymorph in this dataset is 243 meV/atom.

***

The following is a DFT calculation (GGA-PBE) of a geometry-optimized ZnTe2Br structure.

POSCAR file:
```
ZnTe2Br
1.0
-7.6695 3.7792 3.8114
-8.4529 -0.0695 4.0218
-6.2370 1.6403 6.7853
Br Te Zn
1 2 1
Cartesian
-17.5106 4.1898 11.4483
-21.8607 5.2306 14.2924
-5.2591 1.2583 3.4384
-11.2684 2.6962 7.3672
```

Summary:
The energy above the most stable polymorph in this dataset is 132 meV/atom.

***

The following is a DFT calculation (GGA-PBE) of a geometry-optimized ZnTeBr2 structure.

POSCAR file:
```
ZnTeBr2
1.0
-11.1645 -5.7815 1.8739
-10.4124 -7.1683 -1.3345
-9.1204 -8.7042 1.6243
Br Zn Te
2 1 1
Cartesian
-14.0703 -9.9252 0.9918
-1.2783 -0.9017 0.0901
-23.0229 -16.2405 1.6229
-7.6743 -5.4135 0.5410
```

***

The following is a DFT calculation (GGA-PBE) of a geometry-optimized Zn3TeBr structure.

POSCAR file:
```
Zn3TeBr
1.0
5.4791 0.0000 0.0000
0.0000 5.4791 0.0000
0.0000 0.0000 5.4791
Br Zn Te
1 3 1
Cartesian
2.7395 2.7395 2.7395
0.0000 2.7395 0.0000
2.7395 0.0000 0.0000
0.0000 0.0000 2.7395
0.0000 0.0000 0.0000
```

Summary:
The energy above the most stable polymorph in this dataset is 0 meV/atom.

***

The following is a DFT calculation (GGA-PBE) of a geometry-optimized ZnTeBr2 structure.

POSCAR file:
```
ZnTeBr2
1.0
7.6877 0.0000 0.0000
0.0000 7.6877 0.0000
3.8438 3.8438 4.8359
Te Zn Br
2 2 4
Cartesian
7.6877 3.8438 2.4180
0.0000 0.0000 0.0000
3.8438 3.8438 0.0000
3.8438 7.6877 2.4180
9.6096 8.6572 3.6269
4.8134 1.9219 1.2090
2.8743 5.7657 1.2090
5.7657 6.7181 3.6269
```

***

The following is a DFT calculation (GGA-PBE) of a geometry-optimized ZnTe2Br structure.

POSCAR file:
```
ZnTe2Br
1.0
-1.2694 -3.8296 1.2241
3.6344 -1.5513 -1.0842
2.6982 1.3701 7.0845
Te Br Zn
2 1 1
Cartesian
1.1825 -2.6904 0.0700
0.0000 0.0000 0.0000
3.1663 -0.0906 3.0001
0.7144 -1.2297 4.1543
```

Summary:
The energy above the most stable polymorph in this dataset is 294 meV/atom.

***

V (computed, Å³/cell): 119.31; 82.98; 104.03; 121.67; 138.85; 164.49; 285.80; 133.09
M_tot (computed, μB/atom): 0.000; 0.000; 0.000; 0.000; 0.098; 0.000; 0.500; 0.000
Formation energy without anion corrections (computed, eV/atom): -0.231; -0.030; 0.013; -0.099; -0.348; 0.163; -0.053; 0.063